Density functional theory data (PBE+U) for Fe5O3F7 after structural relaxation.

Summary:
- Total moment: 19.99 μB/cell
- Energy: -5.4607 eV/atom
- Distance to the lowest polymorph of the same formula: 0.3550 eV per atom
- Calculated volume: 14.6 A^3/atom

```
data_Fe5O3F7
_chemical_formula_sum 'Fe10 O6 F14'
_space_group_name_H-M_alt 'P 1'
_space_group_IT_number 1
_space_group_name_Hall 'P 1'
_cell_length_a 5.243
_cell_length_b 5.250
_cell_length_c 16.330
_cell_angle_alpha 81.97
_cell_angle_beta 85.25
_cell_angle_gamma 81.10
loop_
_atom_site_label
_atom_site_type_symbol
_atom_site_fract_x
_atom_site_fract_y
_atom_site_fract_z
Fe1 Fe 0.000 0.000 0.000
Fe2 Fe 0.015 0.497 0.859
Fe3 Fe 0.294 0.611 0.492
Fe4 Fe 0.383 0.352 0.285
Fe5 Fe 0.498 0.216 0.106
Fe6 Fe 0.536 0.541 0.716
Fe7 Fe 0.814 0.731 0.373
Fe8 Fe 0.838 0.087 0.514
Fe9 Fe 0.939 0.923 0.217
Fe10 Fe 0.975 0.888 0.689
O1 O 0.050 0.878 0.449
O2 O 0.068 0.619 0.282
O3 O 0.677 0.049 0.291
O4 O 0.833 0.662 0.770
O5 O 0.841 0.987 0.104
O6 O 0.855 0.255 0.928
F1 F 0.009 0.400 0.458
F2 F 0.084 0.121 0.595
F3 F 0.102 0.701 0.941
F4 F 0.215 0.147 0.202
F5 F 0.223 0.624 0.619
F6 F 0.274 0.859 0.748
F7 F 0.337 0.078 0.021
F8 F 0.337 0.346 0.817
F9 F 0.494 0.494 0.387
F10 F 0.522 0.509 0.163
F11 F 0.547 0.331 0.542
F12 F 0.555 0.865 0.471
F13 F 0.720 0.836 0.616
F14 F 0.761 0.194 0.720
```